[1]
CeErTl3 (PBE, relaxed); formation energy = -0.07 eV per atom; total magnetization = 0.2780 μB per atom
1.0
7.361 0.000 0.000
-3.680 6.375 0.000
0.000 0.000 6.580
Ce Er Tl
2 2 6
Cartesian
0.000 4.250 1.645
3.680 2.125 4.935
0.000 0.000 0.000
0.000 0.000 3.290
0.000 2.529 4.935
-1.490 5.110 4.935
2.190 1.265 1.645
1.490 5.110 4.935
5.170 1.265 1.645
3.680 3.845 1.645


[2]
Hg4SbAuBr2 (PBE, relaxed); total magnetization = 0.0000 μB per atom; uncorrected formation energy = -0.06 eV per atom
1.0
6.182 -5.874 0.000
6.182 5.874 0.000
-5.845 0.000 6.293
Hg Sb Au Br
8 2 2 4
Cartesian
-0.037 0.025 2.910
-2.960 -0.025 6.057
0.472 3.008 6.102
3.124 3.008 3.337
3.394 -3.008 2.956
6.047 -3.008 0.191
9.478 0.025 0.236
6.555 -0.025 3.382
0.168 2.937 3.146
3.091 -2.937 0.000
0.000 0.000 0.000
-2.923 0.000 3.146
3.091 2.937 0.000
0.168 -2.937 3.146
6.182 0.000 0.000
3.259 0.000 3.146


[3]
YTlP2S (PBE, relaxed); energy relative to the lowest polymorph listed for this composition = 373 meV/atom; total magnetization = 0.0000 μB per atom; uncorrected formation energy = 0.46 eV per atom
1.0
5.005 0.000 0.000
0.000 5.005 0.000
0.000 0.000 5.085
Y Tl P S
1 1 2 1
Cartesian
0.000 0.000 0.000
2.503 2.503 2.542
0.000 2.503 2.542
2.503 0.000 2.542
2.503 2.503 0.000


[4]
MnAl2Se4 (PBE, relaxed); total magnetization = 0.7143 μB per atom; uncorrected formation energy = -0.74 eV per atom
1.0
5.485 0.000 0.000
0.000 5.485 0.000
0.000 0.000 5.890
Mn Al Se
1 2 4
Cartesian
0.000 0.000 0.000
0.000 2.743 2.945
2.743 0.000 2.945
1.457 1.457 1.480
1.457 4.028 4.410
4.028 1.457 4.410
4.028 4.028 1.480


[5]
K2CaBr (PBE, relaxed); energy relative to the lowest polymorph listed for this composition = 332 meV/atom; total magnetization = 0.0000 μB per atom; uncorrected formation energy = -0.40 eV per atom
1.0
6.409 0.000 0.000
0.000 6.409 0.000
0.000 0.000 4.634
K Ca Br
2 1 1
Cartesian
0.000 3.205 0.000
3.205 0.000 0.000
0.000 0.000 2.317
3.205 3.205 2.317


[6]
TmTh2CoC2 (PBE, relaxed); formation energy = -0.19 eV per atom; total magnetization = 0.0001 μB per atom
1.0
5.711 0.000 0.000
0.000 10.970 0.000
0.000 0.000 3.682
Tm Th Co C
2 4 2 4
Cartesian
0.000 0.000 0.000
2.855 5.485 1.841
0.151 3.257 1.841
2.705 8.742 0.000
3.006 2.228 0.000
5.560 7.713 1.841
0.000 5.485 0.000
2.855 0.000 1.841
1.322 9.767 1.841
1.534 4.282 0.000
4.177 6.689 0.000
4.389 1.204 1.841


[7]
TlPdF3 (PBE, relaxed); energy relative to the lowest polymorph listed for this composition = 145 meV/atom; total magnetization = 0.0000 μB per atom; uncorrected formation energy = -1.30 eV per atom
1.0
6.087 -4.551 0.000
6.087 4.551 0.000
-1.687 0.000 6.124
Tl Pd F
4 4 12
Cartesian
1.650 1.296 1.600
0.807 -1.296 4.662
9.680 1.296 1.462
8.837 -1.296 4.524
5.665 2.411 1.531
4.822 1.248 4.593
5.665 -1.248 1.531
4.822 -2.411 4.593
4.498 3.738 2.388
6.833 3.738 0.674
3.104 0.404 0.042
2.260 -0.404 3.104
4.582 1.039 2.514
6.749 1.039 0.548
3.739 -1.039 5.576
5.905 -1.039 3.610
8.227 0.404 3.020
7.384 -0.404 6.082
3.655 -3.738 5.450
5.989 -3.738 3.736


[8]
CdIn2W (PBE, relaxed); formation energy = 0.55 eV per atom; total magnetization = 0.0000 μB per atom
1.0
3.047 0.000 0.000
0.000 4.388 0.000
0.000 0.000 6.084
Cd In W
1 2 1
Cartesian
0.000 0.000 0.000
1.524 2.194 1.606
1.524 2.194 4.477
0.000 0.000 3.042


[9]
Pb2INF (PBE, relaxed); total magnetization = 0.0010 μB per atom; uncorrected formation energy = 0.72 eV per atom
1.0
6.051 0.000 0.000
0.000 6.051 0.000
0.000 0.000 4.081
Pb I N F
2 1 1 1
Cartesian
0.000 3.025 0.000
3.025 0.000 0.000
0.000 0.000 0.000
0.000 0.000 2.041
3.025 3.025 2.041


[10]
Sm3BiO7 (PBE, relaxed); total magnetization = 0.0000 μB per atom; uncorrected formation energy = -2.68 eV per atom
1.0
3.866 -5.481 0.000
3.866 5.481 0.000
0.000 0.000 7.842
Sm Bi O
6 2 14
Cartesian
0.000 0.000 0.000
0.000 0.000 3.921
2.056 2.573 5.881
5.676 2.573 5.881
2.056 -2.573 1.960
5.676 -2.573 1.960
3.866 0.000 0.000
3.866 0.000 3.921
3.866 4.050 1.960
3.866 3.990 5.881
2.271 1.379 0.228
2.271 1.379 3.693
2.271 -1.379 4.149
2.271 -1.379 7.614
3.866 0.890 5.881
3.866 -0.890 1.960
5.461 1.379 0.228
5.461 1.379 3.693
5.461 -1.379 4.149
5.461 -1.379 7.614
3.866 -3.990 1.960
3.866 -4.050 5.881


[11]
Li2PtO4 (PBE, relaxed); energy relative to the lowest polymorph listed for this composition = 0 meV/atom; total magnetization = 0.2814 μB per atom; uncorrected formation energy = -1.02 eV per atom
1.0
10.765 0.000 0.000
0.000 3.129 0.000
-1.698 0.000 4.833
Li Pt O
4 2 8
Cartesian
1.661 0.000 0.478
2.024 1.564 4.355
7.044 1.564 0.478
7.407 0.000 4.355
-0.849 1.564 2.417
4.534 0.000 2.417
0.288 0.000 1.845
0.011 1.564 4.121
3.674 0.000 0.713
3.398 1.564 2.989
5.670 1.564 1.845
5.394 0.000 4.121
9.057 1.564 0.713
8.780 0.000 2.989


[12]
TbDy3TmSc (PBE, relaxed); formation energy = 0.04 eV per atom; total magnetization = 0.0000 μB per atom
1.0
2.464 -7.401 0.000
2.464 7.401 0.000
0.000 0.000 9.884
Tb Dy Tm Sc
2 6 2 2
Cartesian
2.464 7.368 7.413
2.464 -7.368 2.471
2.464 4.931 4.949
2.464 4.931 9.877
2.464 2.498 7.413
2.464 -2.498 2.471
2.464 -4.931 0.007
2.464 -4.931 4.935
2.464 0.000 0.000
2.464 0.000 4.942
2.464 2.474 2.471
2.464 -2.474 7.413


Question: What is the formula in the third record?
Answer: YTlP2S


Question: The highest total magnetization belongs to which entry?
Answer: MnAl2Se4


Please write out number 2 again, unchanged.
Hg4SbAuBr2 (PBE, relaxed); total magnetization = 0.0000 μB per atom; uncorrected formation energy = -0.06 eV per atom
1.0
6.182 -5.874 0.000
6.182 5.874 0.000
-5.845 0.000 6.293
Hg Sb Au Br
8 2 2 4
Cartesian
-0.037 0.025 2.910
-2.960 -0.025 6.057
0.472 3.008 6.102
3.124 3.008 3.337
3.394 -3.008 2.956
6.047 -3.008 0.191
9.478 0.025 0.236
6.555 -0.025 3.382
0.168 2.937 3.146
3.091 -2.937 0.000
0.000 0.000 0.000
-2.923 0.000 3.146
3.091 2.937 0.000
0.168 -2.937 3.146
6.182 0.000 0.000
3.259 0.000 3.146